No. 1
Computed, not measured: a relaxed structure of Y2ThAs3 at the PBE level of DFT.

## Properties
energy relative to the elements: -1.339 eV/atom
SG: C2/m, No. 12

Cell and atoms, written as POSCAR:
```
Y2ThAs3
1.0
8.034 -2.072 0.000
8.034 2.072 0.000
-3.261 0.000 9.601
Y Th As
4 2 6
Direct
0.169 0.169 0.334
0.330 0.330 0.165
0.670 0.670 0.835
0.831 0.831 0.666
0.000 0.000 0.500
0.500 0.500 0.000
0.030 0.030 0.805
0.305 0.305 0.860
0.359 0.359 0.473
0.641 0.641 0.527
0.695 0.695 0.140
0.970 0.970 0.195
```


No. 2
Computed, not measured: a relaxed structure of Sc3ZnN at the PBE level of DFT.

## Properties
E_form (uncorrected): -0.695 eV/atom
SG: Cmce, No. 64

Cell and atoms, written as POSCAR:
```
Sc3ZnN
1.0
4.490 -6.598 0.000
4.490 6.598 0.000
0.000 0.000 5.882
Sc Zn N
12 4 4
Direct
0.047 0.953 0.777
0.135 0.365 0.750
0.240 0.760 0.491
0.260 0.740 0.991
0.365 0.135 0.250
0.453 0.547 0.277
0.547 0.453 0.723
0.635 0.865 0.750
0.740 0.260 0.009
0.760 0.240 0.509
0.865 0.635 0.250
0.953 0.047 0.223
0.084 0.416 0.250
0.416 0.084 0.750
0.584 0.916 0.250
0.916 0.584 0.750
0.113 0.887 0.177
0.387 0.613 0.677
0.613 0.387 0.323
0.887 0.113 0.823
```


No. 3
Computed, not measured: a relaxed structure of La3BiCl at the PBE level of DFT.

## Properties
polymorph energy (0 for the lowest one): 0.000 eV/atom
E_form (uncorrected): -0.805 eV/atom
SG: Pm-3m, No. 221

Cell and atoms, written as POSCAR:
```
La3BiCl
1.0
5.439 0.000 0.000
0.000 5.439 0.000
0.000 0.000 5.439
La Bi Cl
3 1 1
Direct
0.000 0.000 0.500
0.000 0.500 0.000
0.500 0.000 0.000
0.500 0.500 0.500
0.000 0.000 0.000
```


Copy entry 2 word for word.
Computed, not measured: a relaxed structure of Sc3ZnN at the PBE level of DFT.

## Properties
E_form (uncorrected): -0.695 eV/atom
SG: Cmce, No. 64

Cell and atoms, written as POSCAR:
```
Sc3ZnN
1.0
4.490 -6.598 0.000
4.490 6.598 0.000
0.000 0.000 5.882
Sc Zn N
12 4 4
Direct
0.047 0.953 0.777
0.135 0.365 0.750
0.240 0.760 0.491
0.260 0.740 0.991
0.365 0.135 0.250
0.453 0.547 0.277
0.547 0.453 0.723
0.635 0.865 0.750
0.740 0.260 0.009
0.760 0.240 0.509
0.865 0.635 0.250
0.953 0.047 0.223
0.084 0.416 0.250
0.416 0.084 0.750
0.584 0.916 0.250
0.916 0.584 0.750
0.113 0.887 0.177
0.387 0.613 0.677
0.613 0.387 0.323
0.887 0.113 0.823
```